No. 1
First-principles (PBE) data for crystalline InSb at its relaxed geometry, as listed in the Alexandria database.

The structure belongs to space group I-43m (No. 217); the cell edges are 9.096, 9.096 and 9.096 Å and the angles 90.00°, 90.00° and 90.00°. The asymmetric unit holds In at (0.157, 0.157, 0.157) and Sb at (0.163, 0.163, 0.837).

The energy is -3.367 eV/atom. The spin magnetization comes out at 0.00 μB per formula unit. The value obtained for the density of states at the Fermi level is 0.34 states/eV/f.u. The calculated density comes out at 4.2 g/cm3.

No. 2
First-principles (PBE) data for crystalline InSb at its relaxed geometry, as listed in the Alexandria database.

The structure belongs to space group I4_1/amd (No. 141, origin choice 2); the cell edges are 5.066, 5.066 and 8.626 Å and the angles 90.00°, 90.00° and 90.00°. The asymmetric unit holds In at (0.000, 0.250, 0.375) and Sb at (0.000, 0.250, 0.875).

The energy is -3.328 eV/atom. The spin magnetization comes out at 0.00 μB per formula unit. The value obtained for the density of states at the Fermi level is 1.02 states/eV/f.u. The calculated density comes out at 7.1 g/cm3.

No. 3
First-principles (PBE) data for crystalline InSb at its relaxed geometry, as listed in the Alexandria database.

The structure belongs to space group Pmmn (No. 59, origin choice 2); the cell edges are 3.297, 5.580 and 6.118 Å and the angles 90.00°, 90.00° and 90.00°. The asymmetric unit holds In at (0.250, 0.250, 0.055) and Sb at (0.250, 0.750, 0.474).

The energy is -3.327 eV/atom. The spin magnetization comes out at 0.00 μB per formula unit. The value obtained for the density of states at the Fermi level is 0.96 states/eV/f.u. The calculated density comes out at 7.0 g/cm3.

No. 4
First-principles (PBE) data for crystalline InSb4 at its relaxed geometry, as listed in the Alexandria database.

The structure belongs to space group I4/m (No. 87); the cell edges are 8.356, 8.356 and 4.132 Å and the angles 90.00°, 90.00° and 90.00°. The asymmetric unit holds In at (0.000, 0.000, 0.000) and Sb at (0.145, 0.337, 0.500).

The value obtained for the energy above the most stable polymorph in this dataset is 0 meV/atom. The spin magnetization comes out at 0.00 μB per formula unit. The value obtained for the density of states at the Fermi level is 2.81 states/eV/f.u. The calculated density comes out at 6.9 g/cm3.

No. 5
First-principles (PBE) data for crystalline InSb at its relaxed geometry, as listed in the Alexandria database.

The structure belongs to space group P6_3/m (No. 176); the cell edges are 11.4441, 11.4441 and 4.7708 Å and the angles 90.00°, 90.00° and 120.00°. The asymmetric unit holds In at (0.0784, 0.4137, 0.2500) and Sb at (0.0857, 0.6728, 0.2500).

The energy is -3.424 eV/atom. The spin magnetization comes out at 0.00 μB per formula unit. The value obtained for the density of states at the Fermi level is 0.09 states/eV/f.u. The calculated density comes out at 4.4 g/cm3.

No. 6
First-principles (PBE) data for crystalline In3Sb at its relaxed geometry, as listed in the Alexandria database.

The structure belongs to space group P-6m2 (No. 187); the cell edges are 3.3273, 3.3273 and 11.4940 Å and the angles 90.00°, 90.00° and 120.00°. The asymmetric unit holds In at (0.0000, 0.0000, 0.0000), In at (0.3333, 0.6667, 0.2535) and Sb at (0.0000, 0.0000, 0.5000).

The energy is -3.015 eV/atom. The spin magnetization comes out at 0.00 μB per formula unit. The value obtained for the density of states at the Fermi level is 2.54 states/eV/f.u. The calculated density comes out at 7.0 g/cm3.

No. 7
First-principles (PBE) data for crystalline In3Sb at its relaxed geometry, as listed in the Alexandria database.

The structure belongs to space group Pmm2 (No. 25); the cell edges are 4.766, 4.889 and 4.805 Å and the angles 90.00°, 90.00° and 90.00°. The asymmetric unit holds In at (0.000, 0.000, 0.000), In at (0.000, 0.500, 0.494), In at (0.500, 0.500, 0.998) and Sb at (0.500, 0.000, 0.508).

The energy is -3.054 eV/atom. The spin magnetization comes out at 0.00 μB per formula unit. The value obtained for the density of states at the Fermi level is 2.19 states/eV/f.u. The calculated density comes out at 6.9 g/cm3.

No. 8
First-principles (PBE) data for crystalline InSb2 at its relaxed geometry, as listed in the Alexandria database.

The structure belongs to space group P-3m1 (No. 164); the cell edges are 3.3464, 3.3464 and 8.5661 Å and the angles 90.00°, 90.00° and 120.00°. The asymmetric unit holds In at (0.0000, 0.0000, 0.0000) and Sb at (0.3333, 0.6667, 0.6793).

The energy is -3.476 eV/atom. The spin magnetization comes out at 0.00 μB per formula unit. The value obtained for the density of states at the Fermi level is 1.36 states/eV/f.u. The calculated density comes out at 7.2 g/cm3.

No. 9
First-principles (PBE) data for crystalline InSb at its relaxed geometry, as listed in the Alexandria database.

The structure belongs to space group P2_1/m (No. 11); the cell edges are 4.435, 4.433 and 6.112 Å and the angles 90.00°, 92.36° and 90.00°. The asymmetric unit holds In at (0.243, 0.250, 0.419) and Sb at (0.275, 0.750, 0.000).

The energy is -3.347 eV/atom. The spin magnetization comes out at 0.00 μB per formula unit. The value obtained for the density of states at the Fermi level is 0.79 states/eV/f.u. The calculated density comes out at 6.5 g/cm3.

No. 10
First-principles (PBE) data for crystalline InSb3 at its relaxed geometry, as listed in the Alexandria database.

The structure belongs to space group R-3m (No. 166, hexagonal axes); the cell edges are 3.3689, 3.3689 and 33.5587 Å and the angles 90.00°, 90.00° and 120.00°. The asymmetric unit holds In at (0.0000, 0.0000, 0.0000), Sb at (0.0000, 0.0000, 0.2503) and Sb at (0.0000, 0.0000, 0.5000).

The value obtained for the energy above the most stable polymorph in this dataset is 202 meV/atom. The spin magnetization comes out at 0.00 μB per formula unit. The value obtained for the density of states at the Fermi level is 1.32 states/eV/f.u. The calculated density comes out at 7.3 g/cm3.

No. 11
First-principles (PBE) data for crystalline InSb2 at its relaxed geometry, as listed in the Alexandria database.

The structure belongs to space group I2_12_12_1 (No. 24); the cell edges are 5.501, 8.746 and 8.809 Å and the angles 90.00°, 90.00° and 90.00°. The asymmetric unit holds In at (0.124, 0.000, 0.250), Sb at (0.000, 0.250, 0.796) and Sb at (0.250, 0.457, 0.000).

The energy is -3.628 eV/atom. The spin magnetization comes out at 0.00 μB per formula unit. The value obtained for the density of states at the Fermi level is 0.72 states/eV/f.u. The calculated density comes out at 5.6 g/cm3.

No. 12
First-principles (PBE) data for crystalline InSb2 at its relaxed geometry, as listed in the Alexandria database.

The structure belongs to space group C2/m (No. 12); the cell edges are 12.455, 3.196 and 8.898 Å and the angles 90.00°, 93.36° and 90.00°. The asymmetric unit holds In at (0.096, 0.000, 0.161), Sb at (0.118, 0.500, 0.503) and Sb at (0.149, 0.500, 0.834).

The energy is -3.592 eV/atom. The spin magnetization comes out at 0.00 μB per formula unit. The value obtained for the density of states at the Fermi level is 1.22 states/eV/f.u. The calculated density comes out at 6.7 g/cm3.

No. 13
First-principles (PBE) data for crystalline In5Sb at its relaxed geometry, as listed in the Alexandria database.

The structure belongs to space group Cm (No. 8); the cell edges are 13.328, 3.208 and 7.973 Å and the angles 90.00°, 102.43° and 90.00°. The asymmetric unit holds In at (0.000, 0.000, 0.000), In at (0.068, 0.000, 0.643), In at (0.156, 0.500, 0.335), In at (0.240, 0.500, 0.992), In at (0.321, 0.000, 0.666) and Sb at (0.407, 0.000, 0.319).

The value obtained for the energy above the most stable polymorph in this dataset is 19 meV/atom. The spin magnetization comes out at 0.00 μB per formula unit. The value obtained for the density of states at the Fermi level is 2.36 states/eV/f.u. The calculated density comes out at 6.9 g/cm3.